No. 1
Entry from Alexandria: a relaxed structure of Y8Te3As3N (PBE).

- space-group type = R-3m, No. 166

a = 8.1923 Å, b = 8.1950 Å, c = 8.5229 Å
α = 118.74°, β = 90.01°, γ = 120.00°
Last column: nearest neighbours and their distance in Å.
Atoms (fractional coordinates):
Y: 0.2621 0.5244 0.2866  3 As 2.81, 3 Te 3.12
Y: 0.7379 0.4756 0.7134  3 As 2.81, 3 Te 3.12
Y: 0.7878 0.5756 0.3044  1 N 2.50
Y: 0.2122 0.4244 0.6956  1 N 2.50
Y: 0.7878 0.0164 0.3044  1 N 2.50
Y: 0.2122 0.9836 0.6956  1 N 2.50
Y: 0.2284 0.0164 0.3045  1 N 2.50
Y: 0.7716 0.9836 0.6955  1 N 2.50
Te: 0.0000 0.0000 0.0000  6 Y 3.11-3.12
Te: 0.0000 0.5000 0.0000  6 Y 3.11-3.12
Te: 0.5000 0.5000 0.0000  6 Y 3.11-3.12
As: 0.5000 0.0000 0.5000  6 Y 2.81-2.87
As: 0.5000 0.5000 0.5000  6 Y 2.81-2.87
As: 0.0000 0.5000 0.5000  6 Y 2.81-2.87
N: 0.0000 0.0000 0.5000  6 Y 2.50

***

No. 2
Entry from Alexandria: a relaxed structure of YTeAsN2 (PBE).

- offset from the most stable computed form (meV per atom) = 208
- space-group type = P4/mmm, No. 123

a = 4.3936 Å, b = 4.3936 Å, c = 6.4564 Å
α = 90.00°, β = 90.00°, γ = 90.00°
Last column: nearest neighbours and their distance in Å.
Atoms (fractional coordinates):
Y: 0.0000 0.0000 0.0000  4 N 2.20
As: 0.5000 0.5000 0.5000  4 Te 3.11
Te: 0.0000 0.0000 0.5000  4 As 3.11, 2 Y 3.23
N: 0.0000 0.5000 0.0000  2 Y 2.20
N: 0.5000 0.0000 0.0000  2 Y 2.20

***

No. 3
Entry from Alexandria: a relaxed structure of YTeAsN2 (PBE).

- offset from the most stable computed form (meV per atom) = 0
- space-group type = P4/mmm, No. 123

a = 4.1302 Å, b = 4.1302 Å, c = 5.3808 Å
α = 90.00°, β = 90.00°, γ = 90.00°
Last column: nearest neighbours and their distance in Å.
Atoms (fractional coordinates):
Y: 0.5000 0.5000 0.5000  4 Te 2.92
As: 0.0000 0.0000 0.0000  4 N 2.07
Te: 0.0000 0.0000 0.5000  2 As 2.69, 4 Y 2.92
N: 0.0000 0.5000 0.0000  2 As 2.07
N: 0.5000 0.0000 0.0000  2 As 2.07

***

No. 4
Entry from Alexandria: a relaxed structure of ZrTeAs2N (PBE).

- space-group type = P4/mmm, No. 123

a = 5.4031 Å, b = 4.0379 Å, c = 5.4031 Å
α = 90.00°, β = 90.00°, γ = 90.00°
Last column: nearest neighbours and their distance in Å.
Atoms (fractional coordinates):
As: 0.0000 0.0000 0.5000  2 Zr 2.70
As: 0.5000 0.0000 0.0000  2 Zr 2.70
Te: 0.5000 0.5000 0.5000  8 As 3.37
Zr: 0.0000 0.0000 0.0000  2 N 2.02
N: 0.0000 0.5000 0.0000  2 Zr 2.02

***

No. 5
Entry from Alexandria: a relaxed structure of Th2As2N (PBE).

- space-group type = Cmc2_1, No. 36

a = 4.1710 Å, b = 7.3883 Å, c = 7.9604 Å
α = 90.00°, β = 105.19°, γ = 90.00°
Last column: nearest neighbours and their distance in Å.
Atoms (fractional coordinates):
Th: 0.4620 0.3890 0.9240  2 N 2.47-2.49
Th: 0.8357 0.0384 0.6714  2 N 2.35
Th: 0.1643 0.5384 0.3286  2 N 2.35
Th: 0.5380 0.8890 0.0760  2 N 2.47-2.49
As: 0.9370 0.6862 0.8740  1 As 2.65
As: 0.8098 0.4430 0.6196  1 As 2.65
As: 0.1902 0.9430 0.3804  1 As 2.65
As: 0.0630 0.1862 0.1260  1 As 2.65
N: 0.4039 0.0777 0.8077  4 Th 2.35-2.49
N: 0.5961 0.5777 0.1923  4 Th 2.35-2.49

***

No. 6
Entry from Alexandria: a relaxed structure of Th2AsN2 (PBE).

- offset from the most stable computed form (meV per atom) = 71
- space-group type = Fddd, No. 70

a = 6.3122 Å, b = 6.3122 Å, c = 6.6623 Å
α = 110.62°, β = 110.62°, γ = 104.86°
Last column: nearest neighbours and their distance in Å.
Atoms (fractional coordinates):
Th: 0.1908 0.8092 0.0000  4 N 2.39
Th: 0.8092 0.1908 0.0000  4 N 2.39
Th: 0.0592 0.9408 0.5000  4 N 2.39
Th: 0.4408 0.5592 0.5000  4 N 2.39
As: 0.5000 0.5000 0.0000  6 Th 3.09-3.38, 4 N 3.41
As: 0.7500 0.2500 0.5000  6 Th 3.09-3.38, 4 N 3.41
N: 0.8676 0.8676 0.7352  4 Th 2.39
N: 0.1324 0.1324 0.2648  4 Th 2.39
N: 0.1176 0.6176 0.2352  4 Th 2.39
N: 0.3824 0.8824 0.7648  4 Th 2.39

***

No. 7
Entry from Alexandria: a relaxed structure of Th2AsN (PBE).

- offset from the most stable computed form (meV per atom) = 0
- space-group type = R-3m, No. 166

a = 3.8946 Å, b = 3.8946 Å, c = 7.0368 Å
α = 90.01°, β = 106.05°, γ = 120.01°
Last column: nearest neighbours and their distance in Å.
Atoms (fractional coordinates):
Th: 0.5297 0.2649 0.7946  3 N 2.63
Th: 0.4703 0.7351 0.2054  3 N 2.63
As: 0.0000 0.5000 0.5000  6 Th 2.99
N: 0.0000 0.0000 0.0000  6 Th 2.63

***

No. 8
Entry from Alexandria: a relaxed structure of Th5As5N (PBE).

- space-group type = C2/m, No. 12

a = 5.8918 Å, b = 7.2025 Å, c = 8.2340 Å
α = 107.00°, β = 90.00°, γ = 114.14°
Last column: nearest neighbours and their distance in Å.
Atoms (fractional coordinates):
Th: 0.8515 0.7030 0.1562  1 N 2.66, 3 As 2.88-2.96
Th: 0.8414 0.6828 0.6789  1 N 2.79, 5 As 2.91-2.99
Th: 0.5000 0.0000 0.0000  4 As 2.93-2.96, 2 N 2.95
Th: 0.1586 0.3172 0.3211  1 N 2.79, 5 As 2.91-2.99
Th: 0.1485 0.2970 0.8438  1 N 2.66, 3 As 2.88-2.96
As: 0.6762 0.3525 0.3312  5 Th 2.95-3.08
As: 0.6643 0.3285 0.8300  5 Th 2.93-3.01
As: 0.0000 0.0000 0.5000  4 Th 2.88-2.91
As: 0.3357 0.6715 0.1700  5 Th 2.93-3.01
As: 0.3238 0.6475 0.6688  5 Th 2.95-3.08
N: 0.0000 0.0000 0.0000  6 Th 2.66-2.95

***

No. 9
Entry from Alexandria: a relaxed structure of ThAsN (PBE).

- offset from the most stable computed form (meV per atom) = 817
- space-group type = Fmmm, No. 69

a = 5.5621 Å, b = 8.7225 Å, c = 8.7096 Å
α = 84.16°, β = 71.38°, γ = 71.41°
Last column: nearest neighbours and their distance in Å.
Atoms (fractional coordinates):
As: 0.5003 0.6054 0.3940  1 As 2.47
As: 0.1057 0.3946 0.3940  1 As 2.47
As: 0.8943 0.6054 0.6060  1 As 2.47
As: 0.4997 0.3946 0.6060  1 As 2.47
N: 0.8496 0.0000 0.3008  2 Th 2.12
N: 0.8505 0.2990 0.0000  2 Th 2.12
N: 0.1495 0.7010 0.0000  2 Th 2.12
N: 0.1504 0.0000 0.6992  2 Th 2.12
Th: 0.9997 0.7486 0.2520  2 N 2.12
Th: 0.7483 0.2514 0.2520  2 N 2.12
Th: 0.2517 0.7486 0.7480  2 N 2.12
Th: 0.0003 0.2514 0.7480  2 N 2.12

***

No. 10
Entry from Alexandria: a relaxed structure of Th4As5N (PBE).

- space-group type = C2/m, No. 12

a = 4.0008 Å, b = 7.4451 Å, c = 9.9219 Å
α = 111.98°, β = 101.63°, γ = 90.00°
Last column: nearest neighbours and their distance in Å.
Atoms (fractional coordinates):
Th: 0.3003 0.8001 0.6006  6 As 2.96-2.99
Th: 0.0000 0.7851 0.0001  2 N 2.56
Th: 0.6997 0.1999 0.3994  6 As 2.96-2.99
Th: 0.0000 0.2149 0.9999  2 N 2.56
As: 0.8381 0.5533 0.6762  4 Th 2.95-2.99, 1 As 3.21
As: 0.8380 0.1223 0.6760  4 Th 2.95-2.99, 1 As 3.21
As: 0.1620 0.8777 0.3240  4 Th 2.95-2.99, 1 As 3.21
As: 0.5000 0.5000 0.0000  4 Th 2.92
As: 0.1619 0.4467 0.3238  4 Th 2.95-2.99, 1 As 3.21
N: 0.5000 0.0000 0.0000  4 Th 2.56

***

No. 11
Entry from Alexandria: a relaxed structure of ThAsN (PBE).

- offset from the most stable computed form (meV per atom) = 0
- space-group type = P-1, No. 2

a = 4.0232 Å, b = 4.1574 Å, c = 7.6509 Å
α = 85.41°, β = 89.88°, γ = 90.00°
Last column: nearest neighbours and their distance in Å.
Atoms (fractional coordinates):
Th: 0.2507 0.7697 0.3494  4 N 2.34-2.36
Th: 0.7493 0.2303 0.6506  4 N 2.34-2.36
As: 0.2503 0.6786 0.9472  2 As 2.59
As: 0.7497 0.3214 0.0528  2 As 2.59
N: 0.7500 0.7498 0.5052  4 Th 2.34-2.36
N: 0.2500 0.2502 0.4948  4 Th 2.34-2.36

***

No. 12
Entry from Alexandria: a relaxed structure of Th3As2N2 (PBE).

- space-group type = C2/m, No. 12

a = 4.0614 Å, b = 6.6781 Å, c = 6.9192 Å
α = 64.52°, β = 72.93°, γ = 72.30°
Last column: nearest neighbours and their distance in Å.
Atoms (fractional coordinates):
Th: 0.0000 0.0000 0.0000  2 N 2.34
Th: 0.8086 0.6367 0.7462  3 N 2.37
Th: 0.1914 0.3633 0.2538  3 N 2.37
As: 0.5665 0.2121 0.6548  4 Th 2.98-3.19
As: 0.4335 0.7879 0.3452  4 Th 2.98-3.19
N: 0.7946 0.3253 0.0855  4 Th 2.34-2.37
N: 0.2054 0.6747 0.9145  4 Th 2.34-2.37

***

No. 13
Entry from Alexandria: a relaxed structure of Th4As3N2 (PBE).

- space-group type = C2/m, No. 12

a = 4.0942 Å, b = 6.9756 Å, c = 8.1314 Å
α = 74.85°, β = 75.42°, γ = 72.93°
Last column: nearest neighbours and their distance in Å.
Atoms (fractional coordinates):
Th: 0.3129 0.2576 0.1167  1 N 2.28
Th: 0.6871 0.7424 0.8833  1 N 2.28
Th: 0.1076 0.1835 0.6014  3 N 2.37-2.41
Th: 0.8924 0.8165 0.3986  3 N 2.37-2.41
As: 0.3855 0.5125 0.7164  5 Th 3.01-3.26
As: 0.0000 0.0000 0.0000  6 Th 2.94-3.13
As: 0.6145 0.4875 0.2836  5 Th 3.01-3.26
N: 0.3112 0.0125 0.3651  4 Th 2.28-2.41
N: 0.6888 0.9875 0.6349  4 Th 2.28-2.41

***

Number 1: ΔE_f (raw) -1.320 eV/atom, calculated total energy -0.506 Ry per atom, total magnetization 0.0 μB/f.u.. Number 2: ΔE_f (raw) 0.917 eV/atom, calculated total energy -0.387 Ry per atom, total magnetization 4.0 μB/f.u.. Number 3: ΔE_f (raw) 0.709 eV/atom, calculated total energy -0.402 Ry per atom, total magnetization 0.0 μB/f.u.. Number 4: ΔE_f (raw) 0.323 eV/atom, calculated total energy -0.407 Ry per atom, total magnetization 0.0 μB/f.u.. Number 5: ΔE_f (raw) -1.292 eV/atom, calculated total energy -0.572 Ry per atom, total magnetization 0.0 μB/f.u.. Number 6: ΔE_f (raw) -1.394 eV/atom, calculated total energy -0.634 Ry per atom, total magnetization 0.0 μB/f.u.. Number 7: ΔE_f (raw) -1.378 eV/atom, calculated total energy -0.612 Ry per atom, total magnetization 0.0 μB/f.u.. Number 8: ΔE_f (raw) -1.107 eV/atom, calculated total energy -0.540 Ry per atom, total magnetization 0.0 μB/f.u.. Number 9: ΔE_f (raw) -0.507 eV/atom, calculated total energy -0.537 Ry per atom, total magnetization 0.0 μB/f.u.. Number 10: ΔE_f (raw) -0.815 eV/atom, calculated total energy -0.510 Ry per atom, total magnetization 0.0 μB/f.u.. Number 11: ΔE_f (raw) -1.324 eV/atom, calculated total energy -0.597 Ry per atom, total magnetization 0.0 μB/f.u.. Number 12: ΔE_f (raw) -1.564 eV/atom, calculated total energy -0.621 Ry per atom, total magnetization 0.0 μB/f.u.. Number 13: ΔE_f (raw) -1.515 eV/atom, calculated total energy -0.604 Ry per atom, total magnetization 0.0 μB/f.u..